(1)
This record from the Alexandria database describes a geometry-optimized BaCa3Tc structure. The functional is PBE.

Output
**Energy relative to the elements**: 0.38 eV/atom
**Space group**: Pm-3m, No. 221

Cell lengths 5.739, 5.739, 5.739 Å; angles 90.00, 90.00, 90.00 degrees
Last column: magnetic moment on the atom in μB.
Element x y z (fractional)
Ba (0.500, 0.500, 0.500)  0.06
Ca (0.000, 0.000, 0.500)  0.01
Ca (0.000, 0.500, 0.000)  0.02
Ca (0.500, 0.000, 0.000)  0.03
Tc (0.000, 0.000, 0.000)  1.10


(2)
This record from the Alexandria database describes a geometry-optimized BaCa2Tc structure. The functional is PBE.

Output
**ΔE to the lowest computed polymorph**: 0.0480 eV/atom
**Energy relative to the elements**: 0.57 eV/atom
**Space group**: Imm2, No. 44

Cell lengths 8.485, 8.485, 5.290 Å; angles 71.83, 71.83, 23.80 degrees
Last column: magnetic moment on the atom in μB.
Element x y z (fractional)
Ba (0.162, 0.162, 0.338)  -0.02
Tc (0.498, 0.498, 0.502)  0.91
Ca (0.845, 0.845, 0.655)  -0.01
Ca (0.994, 0.994, 0.006)  -0.01


(3)
This record from the Alexandria database describes a geometry-optimized BaCa2Tc structure. The functional is PBE.

Output
**ΔE to the lowest computed polymorph**: 0.0394 eV/atom
**Energy relative to the elements**: 0.56 eV/atom
**Space group**: Immm, No. 71

Cell lengths 7.323, 7.323, 7.323 Å; angles 151.47, 132.16, 56.65 degrees
Last column: magnetic moment on the atom in μB.
Element x y z (fractional)
Ca (0.935, 0.935, 0.000)  0.00
Ba (0.250, 0.750, 0.500)  -0.02
Ca (0.565, 0.565, 0.000)  0.00
Tc (0.750, 0.250, 0.500)  1.32


(4)
This record from the Alexandria database describes a geometry-optimized Ba4CaTc structure. The functional is PBE.

Output
**Energy relative to the elements**: 0.99 eV/atom
**Space group**: F-43m, No. 216

Cell lengths 7.404, 7.404, 7.404 Å; angles 60.00, 60.00, 60.00 degrees
Last column: magnetic moment on the atom in μB.
Element x y z (fractional)
Ba (0.374, 0.374, 0.879)  -0.14
Tc (0.000, 0.000, 0.000)  3.21
Ba (0.374, 0.879, 0.374)  -0.14
Ba (0.879, 0.374, 0.374)  -0.14
Ba (0.374, 0.374, 0.374)  -0.14
Ca (0.750, 0.750, 0.750)  -0.06


(5)
This record from the Alexandria database describes a geometry-optimized BaCa2Tc structure. The functional is PBE.

Output
**ΔE to the lowest computed polymorph**: 0.3224 eV/atom
**Energy relative to the elements**: 0.84 eV/atom
**Space group**: Cmmm, No. 65

Cell lengths 5.974, 5.974, 3.683 Å; angles 90.00, 90.00, 109.99 degrees
Last column: magnetic moment on the atom in μB.
Element x y z (fractional)
Tc (0.500, 0.000, 0.500)  1.77
Ca (0.000, 0.000, 0.000)  -0.04
Ba (0.000, 0.500, 0.500)  -0.10
Ca (0.500, 0.500, 0.000)  -0.04


(6)
This record from the Alexandria database describes a geometry-optimized BaCa2Tc structure. The functional is PBE.

Output
**ΔE to the lowest computed polymorph**: 0.0571 eV/atom
**Energy relative to the elements**: 0.58 eV/atom
**Space group**: P4mm, No. 99

Cell lengths 3.707, 3.707, 9.899 Å; angles 90.00, 90.00, 90.01 degrees
Last column: magnetic moment on the atom in μB.
Element x y z (fractional)
Ca (0.000, 0.000, 0.028)  -0.01
Tc (0.000, 0.000, 0.476)  1.11
Ca (0.500, 0.500, 0.315)  -0.01
Ba (0.500, 0.500, 0.682)  -0.04


(7)
This record from the Alexandria database describes a geometry-optimized Ba3CaTc structure. The functional is PBE.

Output
**ΔE to the lowest computed polymorph**: 0.0000 eV/atom
**Energy relative to the elements**: 0.47 eV/atom
**Space group**: Pm-3m, No. 221

Cell lengths 6.067, 6.067, 6.067 Å; angles 90.00, 90.00, 90.00 degrees
Last column: magnetic moment on the atom in μB.
Element x y z (fractional)
Tc (0.000, 0.000, 0.000)  0.25
Ba (0.000, 0.000, 0.500)  -0.01
Ba (0.000, 0.500, 0.000)  -0.01
Ba (0.500, 0.000, 0.000)  0.01
Ca (0.500, 0.500, 0.500)  -0.01


(8)
This record from the Alexandria database describes a geometry-optimized BaCa2Tc structure. The functional is PBE.

Output
**ΔE to the lowest computed polymorph**: 0.1491 eV/atom
**Energy relative to the elements**: 0.67 eV/atom
**Space group**: R3m, No. 160

Cell lengths 11.448, 11.448, 11.448 Å; angles 18.77, 18.77, 18.77 degrees
Element x y z (fractional)
Tc (0.502, 0.502, 0.502)
Ba (0.772, 0.772, 0.772)
Ca (0.229, 0.229, 0.229)
Ca (0.997, 0.997, 0.997)


no.,density of states at the Fermi level (states/eV/f.u.)
1,6.366
2,4.454
3,5.346
4,11.790
5,4.321
6,5.051
7,6.087
8,4.056